## NiMoP2 (PBE-GGA)

Data for NiMoP2 after structural relaxation.

Lattice parameters (Å, degrees): 4.488 4.488 4.488 136.43 121.17 75.99
Sites, in units of the cell vectors:
Ni1 0.000 0.000 0.000
Mo1 0.500 0.500 0.000
P1 0.218 0.718 0.500
P2 0.782 0.282 0.500

Properties
**Energy relative to the elements**: -0.09 eV/atom
**Magnetization**: 0.00 μB per formula unit